# VGeB2Pt

A geometry-optimized VGeB2Pt structure (PBE, the Alexandria database).

Its total energy is -26.9 eV per cell. Its crystal system is tetragonal.

The structure belongs to space group P4/mmm (No. 123); the cell edges are 4.006, 4.006 and 4.677 Å and the angles 90.00°, 90.00° and 90.00°. The distinct sites, in fractional coordinates, are V at (0.000, 0.000, 0.000), Ge at (0.000, 0.000, 0.500), B at (0.000, 0.500, 0.000) and Pt at (0.500, 0.500, 0.500).

***

# ZrGeBPt2

A geometry-optimized ZrGeBPt2 structure (PBE, the Alexandria database).

Its total energy is -33.2 eV per cell. Its crystal system is tetragonal.

The structure belongs to space group P4/mmm (No. 123); the cell edges are 4.073, 4.073 and 5.003 Å and the angles 90.00°, 90.00° and 90.00°. The distinct sites, in fractional coordinates, are Zr at (0.000, 0.000, 0.000), Ge at (0.500, 0.500, 0.000), B at (0.500, 0.500, 0.500) and Pt at (0.000, 0.500, 0.500).

***

# Pu3GeB2Rh9

A geometry-optimized Pu3GeB2Rh9 structure (PBE, the Alexandria database).

Its total energy is -134.1 eV per cell. Its crystal system is trigonal.

The structure belongs to space group P-3m1 (No. 164); the cell edges are 5.8006, 5.8006 and 8.4888 Å and the angles 90.00°, 90.00° and 120.00°. The distinct sites, in fractional coordinates, are Pu at (0.0000, 0.0000, 0.0000), Pu at (0.3333, 0.6667, 0.6309), Ge at (0.0000, 0.0000, 0.5000), B at (0.3333, 0.6667, 0.1478), Rh at (0.0000, 0.5000, 0.0000) and Rh at (0.1645, 0.3289, 0.2844).

***

# Pu3Ge2BRh3

A geometry-optimized Pu3Ge2BRh3 structure (PBE, the Alexandria database).

Its total energy is -84.7 eV per cell. Its crystal system is hexagonal.

The structure belongs to space group P-62m (No. 189); the cell edges are 6.9671, 6.9671 and 3.8461 Å and the angles 90.00°, 90.00° and 120.00°. The distinct sites, in fractional coordinates, are Pu at (0.0000, 0.6191, 0.0000), Ge at (0.3333, 0.6667, 0.5000), B at (0.0000, 0.0000, 0.0000) and Rh at (0.0000, 0.2238, 0.5000).

***

# Pu2GeB2Ru5

A geometry-optimized Pu2GeB2Ru5 structure (PBE, the Alexandria database).

Its total energy is -193.7 eV per cell. Its crystal system is tetragonal.

The structure belongs to space group P4/mbm (No. 127); the cell edges are 9.604, 9.604 and 3.088 Å and the angles 90.00°, 90.00° and 90.00°. The distinct sites, in fractional coordinates, are Pu at (0.176, 0.324, 0.000), Ge at (0.000, 0.000, 0.000), B at (0.123, 0.623, 0.000), Ru at (0.000, 0.500, 0.500) and Ru at (0.069, 0.784, 0.500).

***

# RbGeB

A geometry-optimized RbGeB structure (PBE, the Alexandria database).

Its total energy is -46.5 eV per cell. Its crystal system is monoclinic.

The structure belongs to space group P2_1/c (No. 14); the cell edges are 10.753, 4.861 and 6.812 Å and the angles 90.00°, 92.51° and 90.00°. The distinct sites, in fractional coordinates, are Rb at (0.218, 0.020, 0.220), Ge at (0.424, 0.531, 0.347) and B at (0.489, 0.644, 0.065).

***

no.,formation enthalpy at 0 K (meV/atom)
1,1249.0
2,-264.9
3,-462.0
4,-413.9
5,-384.9
6,211.9